[1]
DFT (PBE) results for a geometry-optimized BeFeSe2 structure.

Calculated values
VASP energy: -4.98 eV per atom

a = 6.3126 Å, b = 6.3126 Å, c = 6.3126 Å
α = 130.20°, β = 130.20°, γ = 73.09°
Closest atoms and distances in Å follow each position.
Element x y z (fractional)
Be1 0.0000 0.0000 0.0000  4 Se 2.23
Be2 0.7500 0.2500 0.5000  4 Se 2.23
Fe1 0.2500 0.7500 0.5000  4 Se 2.31
Fe2 0.5000 0.5000 0.0000  4 Se 2.31
Se1 0.1130 0.6250 0.9880  2 Be 2.23, 2 Fe 2.31
Se2 0.3750 0.3630 0.4880  2 Be 2.23, 2 Fe 2.31
Se3 0.6370 0.1250 0.0120  2 Be 2.23, 2 Fe 2.31
Se4 0.8750 0.8870 0.5120  2 Be 2.23, 2 Fe 2.31


[2]
DFT (PBE) results for a geometry-optimized Be10Fe4Si structure.

Calculated values
VASP energy: -4.93 eV per atom

a = 5.7476 Å, b = 5.7476 Å, c = 5.7476 Å
α = 111.85°, β = 111.85°, γ = 104.81°
Closest atoms and distances in Å follow each position.
Element x y z (fractional)
Be1 0.0371 0.9290 0.6604  3 Be 2.05-2.23, 1 Fe 2.28
Be2 0.0710 0.7314 0.1080  3 Be 2.05-2.23, 1 Fe 2.28
Be3 0.2500 0.7500 0.5000  4 Be 2.05, 4 Fe 2.13
Be4 0.2686 0.3767 0.3396  3 Be 2.05-2.23, 1 Fe 2.28
Be5 0.3767 0.0371 0.1080  3 Be 2.05-2.23, 1 Fe 2.28
Be6 0.6233 0.9629 0.8920  3 Be 2.05-2.23, 1 Fe 2.28
Be7 0.7314 0.6233 0.6604  3 Be 2.05-2.23, 1 Fe 2.28
Be8 0.7500 0.2500 0.5000  4 Be 2.05, 4 Fe 2.13
Be9 0.9290 0.2686 0.8920  3 Be 2.05-2.23, 1 Fe 2.28
Be10 0.9629 0.0710 0.3396  3 Be 2.05-2.23, 1 Fe 2.28
Fe1 0.1713 0.5754 0.7467  4 Be 2.13-2.28, 1 Si 2.17
Fe2 0.4246 0.1713 0.5959  4 Be 2.13-2.28, 1 Si 2.17
Fe3 0.5754 0.8287 0.4041  4 Be 2.13-2.28, 1 Si 2.17
Fe4 0.8287 0.4246 0.2533  4 Be 2.13-2.28, 1 Si 2.17
Si1 0.5000 0.5000 0.0000  4 Fe 2.17


[3]
DFT (PBE) results for a geometry-optimized Be2Fe2Si structure.

Calculated values
VASP energy: -6.08 eV per atom

a = 5.8202 Å, b = 5.8202 Å, c = 2.9723 Å
α = 90.00°, β = 90.00°, γ = 90.00°
Closest atoms and distances in Å follow each position.
Element x y z (fractional)
Be1 0.1387 0.3613 0.0000  6 Fe 2.26-2.27, 1 Be 2.28
Be2 0.3613 0.8613 0.0000  6 Fe 2.26-2.27, 1 Be 2.28
Be3 0.6387 0.1387 0.0000  6 Fe 2.26-2.27, 1 Be 2.28
Be4 0.8613 0.6387 0.0000  6 Fe 2.26-2.27, 1 Be 2.28
Fe1 0.1551 0.6551 0.5000  2 Si 2.20, 6 Be 2.26-2.27
Fe2 0.3449 0.1551 0.5000  2 Si 2.20, 6 Be 2.26-2.27
Fe3 0.6551 0.8449 0.5000  2 Si 2.20, 6 Be 2.26-2.27
Fe4 0.8449 0.3449 0.5000  2 Si 2.20, 6 Be 2.26-2.27
Si1 0.0000 0.0000 0.5000  4 Fe 2.20
Si2 0.5000 0.5000 0.5000  4 Fe 2.20


[4]
DFT (PBE) results for a geometry-optimized Be4FeSi structure.

Calculated values
VASP energy: -5.05 eV per atom

a = 4.1315 Å, b = 4.1315 Å, c = 4.1315 Å
α = 60.00°, β = 60.00°, γ = 60.00°
Closest atoms and distances in Å follow each position.
Element x y z (fractional)
Be1 0.1243 0.1243 0.1243  6 Be 2.05-2.08
Be2 0.1243 0.1243 0.6270  6 Be 2.05-2.08
Be3 0.1243 0.6270 0.1243  6 Be 2.05-2.08
Be4 0.6270 0.1243 0.1243  6 Be 2.05-2.08
Fe1 0.7500 0.7500 0.7500  12 Be 2.42, 4 Si 2.53
Si1 0.5000 0.5000 0.5000  12 Be 2.42, 4 Fe 2.53


no.,formation energy from raw total energies (meV per atom),M_tot (μB per cell),density (g cm⁻³)
1,-190,0.00,5.16
2,177,3.98,3.90
3,-124,0.00,5.20
4,-253,0.00,4.00